Entry 1:
# Li6FeSi2O8, relaxed, DFT PBEsol
# calculated total energy: -6.560 eV per atom
data_Li6FeSi2O8
_cell_length_a 5.0331
_cell_length_b 5.4203
_cell_length_c 6.1709
_cell_angle_alpha 88.51
_cell_angle_beta 78.76
_cell_angle_gamma 85.57
_symmetry_space_group_name_H-M 'P -1'
_symmetry_Int_Tables_number 2
loop_
_symmetry_equiv_pos_as_xyz
'x,y,z'
'-x,-y,-z'
loop_
_atom_site_label
_atom_site_fract_x
_atom_site_fract_y
_atom_site_fract_z
Li1 0.1131 0.2538 0.0352
Li2 0.2691 0.3666 0.6119
Li3 0.3440 0.5992 0.1892
Fe1 0.0000 0.0000 0.5000
Si1 0.3801 0.7987 0.7207
O1 0.1989 0.0600 0.7777
O2 0.2676 0.5795 0.8977
O3 0.2874 0.2139 0.2971
O4 0.3161 0.7124 0.4811

Entry 2:
# Li2FeSiO4, relaxed, DFT PBEsol
# calculated total energy: -7.058 eV per atom
data_Li2FeSiO4
_cell_length_a 5.3546
_cell_length_b 4.8457
_cell_length_c 6.3103
_cell_angle_alpha 90.00
_cell_angle_beta 90.83
_cell_angle_gamma 90.00
_symmetry_space_group_name_H-M 'P 1 21 1'
_symmetry_Int_Tables_number 4
loop_
_symmetry_equiv_pos_as_xyz
'x,y,z'
'-x,y+1/2,-z'
loop_
_atom_site_label
_atom_site_fract_x
_atom_site_fract_y
_atom_site_fract_z
Li1 0.1553 0.0000 0.2378
Li2 0.3408 0.4933 0.9969
Fe1 0.3455 0.5178 0.4869
Si1 0.1642 0.9879 0.7634
O1 0.1305 0.5902 0.2444
O2 0.1785 0.6486 0.7450
O3 0.2975 0.1072 0.5423
O4 0.3102 0.0961 0.9728

Entry 3:
# Li2FeSiO4, relaxed, DFT PBEsol
# calculated total energy: -7.056 eV per atom
data_Li2FeSiO4
_cell_length_a 10.5337
_cell_length_b 6.2518
_cell_length_c 5.0754
_cell_angle_alpha 90.00
_cell_angle_beta 90.00
_cell_angle_gamma 90.00
_symmetry_space_group_name_H-M 'P n m a'
_symmetry_Int_Tables_number 62
loop_
_symmetry_equiv_pos_as_xyz
'x,y,z'
'-x,-y,-z'
'-x+1/2,-y,z+1/2'
'x+1/2,y,-z+1/2'
'x+1/2,-y+1/2,-z+1/2'
'-x+1/2,y+1/2,z+1/2'
'-x,y+1/2,-z'
'x,-y+1/2,z'
loop_
_atom_site_label
_atom_site_fract_x
_atom_site_fract_y
_atom_site_fract_z
Li1 0.1715 0.0098 0.2087
Fe1 0.0791 0.7500 0.8101
Si1 0.0794 0.2500 0.6995
O1 0.0706 0.7500 0.2131
O2 0.0865 0.2500 0.3745
O3 0.1536 0.0363 0.8113

Entry 4:
# LiFeSiO4, relaxed, DFT PBEsol
# calculated total energy: -7.417 eV per atom
data_LiFeSiO4
_cell_length_a 4.4337
_cell_length_b 4.4337
_cell_length_c 8.5055
_cell_angle_alpha 90.00
_cell_angle_beta 90.00
_cell_angle_gamma 90.00
_symmetry_space_group_name_H-M 'I -4'
_symmetry_Int_Tables_number 82
loop_
_symmetry_equiv_pos_as_xyz
'x,y,z'
'y,-x,-z'
'-x,-y,z'
'-y,x,-z'
'x+1/2,y+1/2,z+1/2'
'y+1/2,-x+1/2,-z+1/2'
'-x+1/2,-y+1/2,z+1/2'
'-y+1/2,x+1/2,-z+1/2'
loop_
_atom_site_label
_atom_site_fract_x
_atom_site_fract_y
_atom_site_fract_z
Li1 0.0000 0.0000 0.0000
Fe1 0.0000 0.5000 0.7500
Si1 0.0000 0.0000 0.5000
O1 0.1910 0.2393 0.6093

Entry 5:
# LiFeSiO4, relaxed, DFT PBEsol
# calculated total energy: -7.425 eV per atom
data_LiFeSiO4
_cell_length_a 7.8914
_cell_length_b 5.3526
_cell_length_c 8.3309
_cell_angle_alpha 90.00
_cell_angle_beta 106.32
_cell_angle_gamma 90.00
_symmetry_space_group_name_H-M 'P 1 c 1'
_symmetry_Int_Tables_number 7
loop_
_symmetry_equiv_pos_as_xyz
'x,y,z'
'x,-y,z+1/2'
loop_
_atom_site_label
_atom_site_fract_x
_atom_site_fract_y
_atom_site_fract_z
Li1 0.0000 0.1574 0.0000
Li2 0.5079 0.3380 0.7043
Fe1 0.1083 0.3451 0.3719
Fe2 0.6344 0.1699 0.0878
Si1 0.3894 0.1561 0.3248
Si2 0.8757 0.3255 0.6239
O1 0.0262 0.3343 0.8066
O2 0.1837 0.1694 0.2033
O3 0.3529 0.3064 0.4858
O4 0.4682 0.1248 0.8770
O5 0.5245 0.3037 0.2398
O6 0.7104 0.1577 0.6461
O7 0.8198 0.3798 0.0758
O8 0.9544 0.2004 0.4803

Entry 6:
# LiFeSiO4, relaxed, DFT PBEsol
# calculated total energy: -7.481 eV per atom
data_LiFeSiO4
_cell_length_a 13.7609
_cell_length_b 13.7609
_cell_length_c 9.1967
_cell_angle_alpha 90.00
_cell_angle_beta 90.00
_cell_angle_gamma 120.00
_symmetry_space_group_name_H-M 'R 3'
_symmetry_Int_Tables_number 146
_symmetry_space_group_name_Hall 'R 3'
loop_
_atom_site_label
_atom_site_fract_x
_atom_site_fract_y
_atom_site_fract_z
Li1 0.0214 0.2121 0.0000
Li2 0.1444 0.6850 0.1641
Fe1 0.0167 0.2099 0.6666
Fe2 0.1379 0.6860 0.8324
Si1 0.0169 0.2131 0.3314
Si2 0.1364 0.6818 0.4986
O1 0.0050 0.3260 0.3314
O2 0.0118 0.6703 0.4977
O3 0.0741 0.2040 0.4840
O4 0.0895 0.2135 0.1895
O5 0.1031 0.2160 0.8258
O6 0.2035 0.7434 0.6493
O7 0.2077 0.1250 0.6877
O8 0.2144 0.1104 0.3229

Entry 7:
# LiFeSiO4, relaxed, DFT PBEsol
# calculated total energy: -7.436 eV per atom
data_LiFeSiO4
_cell_length_a 5.4525
_cell_length_b 8.1535
_cell_length_c 6.1279
_cell_angle_alpha 90.00
_cell_angle_beta 90.00
_cell_angle_gamma 90.00
_symmetry_space_group_name_H-M 'C m c m'
_symmetry_Int_Tables_number 63
_symmetry_space_group_name_Hall '-C 2c 2'
loop_
_atom_site_label
_atom_site_fract_x
_atom_site_fract_y
_atom_site_fract_z
Li1 0.0000 0.1703 0.2500
Fe1 0.0000 0.5000 0.0000
Si1 0.0000 0.1526 0.7500
O1 0.0000 0.2672 0.5335
O2 0.2392 0.0253 0.7500

Entry 8:
# LiFeSiO4, relaxed, DFT PBEsol
# calculated total energy: -7.426 eV per atom
data_LiFeSiO4
_cell_length_a 5.5211
_cell_length_b 5.5211
_cell_length_c 7.7543
_cell_angle_alpha 90.00
_cell_angle_beta 90.00
_cell_angle_gamma 90.00
_symmetry_space_group_name_H-M 'P 43 2 2'
_symmetry_Int_Tables_number 95
loop_
_symmetry_equiv_pos_as_xyz
'x,y,z'
'-y,x,z+3/4'
'-x,-y,z+1/2'
'y,-x,z+1/4'
'x,-y,-z+1/2'
'-y,-x,-z+3/4'
'-x,y,-z'
'y,x,-z+1/4'
loop_
_atom_site_label
_atom_site_fract_x
_atom_site_fract_y
_atom_site_fract_z
Li1 0.0000 0.2340 0.0000
Fe1 0.2484 0.5000 0.2500
Si1 0.2510 0.2510 0.6250
O1 0.0019 0.2634 0.7388
O2 0.2608 0.4972 0.4965